[1]
Compound: CaAsOsBr2
Source: Alexandria
Functional: PBEsol
Structure: relaxed

Cell lengths 4.6512, 5.1940, 5.1940 Å; angles 90.00, 90.00, 90.00 degrees
Last column: nearest neighbours and their distance in Å.
Positions (direct):
Br1 0.0000 0.0000 0.5000  2 Os 2.60
Br2 0.0000 0.5000 0.0000  2 Os 2.60
Ca1 0.5000 0.5000 0.5000  8 Br 3.49, 4 As 3.67
As1 0.5000 0.0000 0.0000  2 Os 2.33
Os1 0.0000 0.0000 0.0000  2 As 2.33, 4 Br 2.60

Values from the calculation:
- Space group: P4/mmm (123)

=====

[2]
Compound: CaAs2PBr
Source: Alexandria
Functional: PBEsol
Structure: relaxed

Cell lengths 4.7325, 4.7325, 5.3033 Å; angles 90.00, 90.00, 90.00 degrees
Last column: nearest neighbours and their distance in Å.
Positions (direct):
As1 0.0000 0.5000 0.0000  2 P 2.37
As2 0.5000 0.0000 0.0000  2 P 2.37
Br1 0.0000 0.0000 0.5000  2 P 2.65
Ca1 0.5000 0.5000 0.5000  4 Br 3.35, 8 As 3.55
P1 0.0000 0.0000 0.0000  4 As 2.37

Values from the calculation:
- Space group: P4/mmm (123)

=====

[3]
Compound: CaAsPbBr2
Source: Alexandria
Functional: PBEsol
Structure: relaxed

Cell lengths 5.2642, 5.2642, 5.7865 Å; angles 90.00, 90.00, 90.00 degrees
Last column: nearest neighbours and their distance in Å.
Positions (direct):
Br1 0.0000 0.5000 0.0000  2 Ca 2.63
Br2 0.5000 0.0000 0.0000  2 Ca 2.63
Ca1 0.0000 0.0000 0.0000  4 Br 2.63, 2 As 2.89
Pb1 0.5000 0.5000 0.5000  4 As 3.72, 8 Br 3.91
As1 0.0000 0.0000 0.5000  2 Ca 2.89

Values from the calculation:
- Space group: P4/mmm (123)

=====

[4]
Compound: CaAs2PtBr
Source: Alexandria
Functional: PBEsol
Structure: relaxed

Cell lengths 4.8394, 4.8394, 5.3209 Å; angles 90.00, 90.00, 90.00 degrees
Last column: nearest neighbours and their distance in Å.
Positions (direct):
As1 0.0000 0.5000 0.0000  2 Pt 2.42
As2 0.5000 0.0000 0.0000  2 Pt 2.42
Ca1 0.5000 0.5000 0.5000  4 Br 3.42, 8 As 3.60
Pt1 0.0000 0.0000 0.0000  4 As 2.42, 2 Br 2.66
Br1 0.0000 0.0000 0.5000  2 Pt 2.66

Values from the calculation:
- Space group: P4/mmm (123)

=====

[5]
Compound: CaAsRuBr2
Source: Alexandria
Functional: PBEsol
Structure: relaxed

Cell lengths 4.6448, 5.1265, 5.1265 Å; angles 90.00, 90.00, 90.00 degrees
Last column: nearest neighbours and their distance in Å.
Positions (direct):
Br1 0.0000 0.0000 0.5000  2 Ru 2.56
Br2 0.0000 0.5000 0.0000  2 Ru 2.56
Ru1 0.0000 0.0000 0.0000  2 As 2.32, 4 Br 2.56
As1 0.5000 0.0000 0.0000  2 Ru 2.32
Ca1 0.5000 0.5000 0.5000  8 Br 3.46, 4 As 3.62

Values from the calculation:
- Space group: P4/mmm (123)

=====

[6]
Compound: CaAsRuBr2
Source: Alexandria
Functional: PBEsol
Structure: relaxed

Cell lengths 5.2279, 5.2279, 5.7340 Å; angles 90.00, 90.00, 90.00 degrees
Last column: nearest neighbours and their distance in Å.
Positions (direct):
Ca1 0.0000 0.0000 0.0000  4 Br 2.61, 2 As 2.87
As1 0.0000 0.0000 0.5000  2 Ca 2.87
Br1 0.0000 0.5000 0.0000  2 Ca 2.61
Br2 0.5000 0.0000 0.0000  2 Ca 2.61
Ru1 0.5000 0.5000 0.5000  4 As 3.70, 8 Br 3.88

Values from the calculation:
- Space group: P4/mmm (123)

=====

Q: Which energy values were calculated for the entries above? A: -0.1744 -0.1522 -0.1279 -0.1622 -0.1685 -0.1294, in hartree per atom.